## A
A plane-wave DFT calculation with PBE was carried out for a geometry-optimized CaAc2Cd structure.

Geometry as CIF:
```
data_CaAc2Cd
_cell_length_a 4.124
_cell_length_b 7.323
_cell_length_c 10.745
_cell_angle_alpha 90.00
_cell_angle_beta 90.00
_cell_angle_gamma 106.37
_space_group_name_H-M_alt 'P 1'
_space_group_IT_number 1
loop_
_space_group_symop_operation_xyz
'x,y,z'
loop_
_atom_site_label
_atom_site_type_symbol
_atom_site_fract_x
_atom_site_fract_y
_atom_site_fract_z
_atom_site_occupancy
Ca1 Ca 0.946 0.892 0.250 1
Ca2 Ca 0.054 0.108 0.750 1
Ac1 Ac 0.363 0.726 0.550 1
Ac2 Ac 0.637 0.274 0.450 1
Ac3 Ac 0.363 0.726 0.950 1
Ac4 Ac 0.637 0.274 0.050 1
Cd1 Cd 0.736 0.473 0.750 1
Cd2 Cd 0.264 0.527 0.250 1
```

## Properties
**Calculated volume**: 311 Å³/cell
**D(E_F)**: 9.8 states/eV per cell
**Symmetry**: Cmcm (63)

---

## B
A plane-wave DFT calculation with PBE was carried out for a geometry-optimized CaAc2Cd structure.

Geometry as CIF:
```
data_CaAc2Cd
_cell_length_a 4.167
_cell_length_b 4.167
_cell_length_c 8.821
_cell_angle_alpha 90.00
_cell_angle_beta 90.00
_cell_angle_gamma 90.00
_space_group_name_H-M_alt 'P 1'
_space_group_IT_number 1
loop_
_space_group_symop_operation_xyz
'x,y,z'
loop_
_atom_site_label
_atom_site_type_symbol
_atom_site_fract_x
_atom_site_fract_y
_atom_site_fract_z
_atom_site_occupancy
Ac1 Ac 0.000 0.000 0.780 1
Ac2 Ac 0.000 0.000 0.220 1
Ca1 Ca 0.500 0.500 0.500 1
Cd1 Cd 0.500 0.500 0.000 1
```

## Properties
**Calculated volume**: 153 Å³/cell
**D(E_F)**: 4.2 states/eV per cell
**Symmetry**: P4/mmm (123)

---

The least stable of them is A.

---

## A
A plane-wave DFT calculation with PBE was carried out for a geometry-optimized Ca3Ac2Cd2 structure.

Geometry as CIF:
```
data_Ca3Ac2Cd2
_cell_length_a 5.504
_cell_length_b 6.200
_cell_length_c 8.922
_cell_angle_alpha 108.73
_cell_angle_beta 90.00
_cell_angle_gamma 116.35
_space_group_name_H-M_alt 'P 1'
_space_group_IT_number 1
loop_
_space_group_symop_operation_xyz
'x,y,z'
loop_
_atom_site_label
_atom_site_type_symbol
_atom_site_fract_x
_atom_site_fract_y
_atom_site_fract_z
_atom_site_occupancy
Ca1 Ca 0.500 0.000 0.000 1
Ca2 Ca 0.639 0.278 0.441 1
Ca3 Ca 0.361 0.722 0.559 1
Ac1 Ac 0.882 0.764 0.226 1
Ac2 Ac 0.118 0.236 0.774 1
Cd1 Cd 0.823 0.647 0.813 1
Cd2 Cd 0.177 0.353 0.187 1
```

## Properties
**Calculated volume**: 255 Å³/cell
**D(E_F)**: 7.4 states/eV per cell
**Symmetry**: C2/m (12)

---

## B
A plane-wave DFT calculation with PBE was carried out for a geometry-optimized Ca3Ac2Cd2 structure.

Geometry as CIF:
```
data_Ca3Ac2Cd2
_cell_length_a 3.887
_cell_length_b 3.894
_cell_length_c 17.093
_cell_angle_alpha 90.00
_cell_angle_beta 96.53
_cell_angle_gamma 90.00
_space_group_name_H-M_alt 'P 1'
_space_group_IT_number 1
loop_
_space_group_symop_operation_xyz
'x,y,z'
loop_
_atom_site_label
_atom_site_type_symbol
_atom_site_fract_x
_atom_site_fract_y
_atom_site_fract_z
_atom_site_occupancy
Ca1 Ca 0.418 0.500 0.835 1
Ca2 Ca 0.582 0.500 0.165 1
Ca3 Ca 0.000 0.000 0.000 1
Ac1 Ac 0.301 0.500 0.601 1
Ac2 Ac 0.699 0.500 0.399 1
Cd1 Cd 0.135 0.000 0.270 1
Cd2 Cd 0.865 0.000 0.730 1
```

## Properties
**Calculated volume**: 257 Å³/cell
**D(E_F)**: 7.2 states/eV per cell
**Symmetry**: Cmmm (65)

---

The least stable of them is B.

---

## A
A plane-wave DFT calculation with PBE was carried out for a geometry-optimized CaAcDyCd structure.

Geometry as CIF:
```
data_CaAcDyCd
_cell_length_a 3.768
_cell_length_b 3.768
_cell_length_c 9.602
_cell_angle_alpha 90.00
_cell_angle_beta 90.00
_cell_angle_gamma 90.00
_space_group_name_H-M_alt 'P 1'
_space_group_IT_number 1
loop_
_space_group_symop_operation_xyz
'x,y,z'
loop_
_atom_site_label
_atom_site_type_symbol
_atom_site_fract_x
_atom_site_fract_y
_atom_site_fract_z
_atom_site_occupancy
Ca1 Ca 0.500 0.500 0.769 1
Ac1 Ac 0.000 0.000 0.092 1
Dy1 Dy 0.500 0.500 0.366 1
Cd1 Cd 0.000 0.000 0.557 1
```

## Properties
**Calculated volume**: 136 Å³/cell
**D(E_F)**: 5.8 states/eV per cell
**Symmetry**: P4mm (99)

---

## B
A plane-wave DFT calculation with PBE was carried out for a geometry-optimized CaAcDyCd structure.

Geometry as CIF:
```
data_CaAcDyCd
_cell_length_a 5.740
_cell_length_b 5.740
_cell_length_c 5.740
_cell_angle_alpha 60.00
_cell_angle_beta 60.00
_cell_angle_gamma 60.00
_space_group_name_H-M_alt 'P 1'
_space_group_IT_number 1
loop_
_space_group_symop_operation_xyz
'x,y,z'
loop_
_atom_site_label
_atom_site_type_symbol
_atom_site_fract_x
_atom_site_fract_y
_atom_site_fract_z
_atom_site_occupancy
Ac1 Ac 0.000 0.000 0.000 1
Cd1 Cd 0.750 0.750 0.750 1
Ca1 Ca 0.250 0.250 0.250 1
Dy1 Dy 0.500 0.500 0.500 1
```

## Properties
**Calculated volume**: 134 Å³/cell
**D(E_F)**: 4.9 states/eV per cell
**Symmetry**: F-43m (216)

---

The least stable of them is B.

---

## A
A plane-wave DFT calculation with PBE was carried out for a geometry-optimized CaAcHoCd structure.

Geometry as CIF:
```
data_CaAcHoCd
_cell_length_a 5.739
_cell_length_b 5.739
_cell_length_c 5.739
_cell_angle_alpha 60.00
_cell_angle_beta 60.00
_cell_angle_gamma 60.00
_space_group_name_H-M_alt 'P 1'
_space_group_IT_number 1
loop_
_space_group_symop_operation_xyz
'x,y,z'
loop_
_atom_site_label
_atom_site_type_symbol
_atom_site_fract_x
_atom_site_fract_y
_atom_site_fract_z
_atom_site_occupancy
Ac1 Ac 0.500 0.500 0.500 1
Ca1 Ca 0.750 0.750 0.750 1
Ho1 Ho 0.250 0.250 0.250 1
Cd1 Cd 0.000 0.000 0.000 1
```

## Properties
**Calculated volume**: 134 Å³/cell
**D(E_F)**: 3.7 states/eV per cell
**Symmetry**: F-43m (216)

---

## B
A plane-wave DFT calculation with PBE was carried out for a geometry-optimized CaAcHoCd structure.

Geometry as CIF:
```
data_CaAcHoCd
_cell_length_a 3.765
_cell_length_b 3.765
_cell_length_c 9.579
_cell_angle_alpha 90.00
_cell_angle_beta 90.00
_cell_angle_gamma 90.00
_space_group_name_H-M_alt 'P 1'
_space_group_IT_number 1
loop_
_space_group_symop_operation_xyz
'x,y,z'
loop_
_atom_site_label
_atom_site_type_symbol
_atom_site_fract_x
_atom_site_fract_y
_atom_site_fract_z
_atom_site_occupancy
Ca1 Ca 0.500 0.500 0.769 1
Ac1 Ac 0.000 0.000 0.093 1
Ho1 Ho 0.500 0.500 0.367 1
Cd1 Cd 0.000 0.000 0.556 1
```

## Properties
**Calculated volume**: 136 Å³/cell
**D(E_F)**: 5.9 states/eV per cell
**Symmetry**: P4mm (99)

---

The least stable of them is A.

---

## A
A plane-wave DFT calculation with PBE was carried out for a geometry-optimized CaAcLaCd structure.

Geometry as CIF:
```
data_CaAcLaCd
_cell_length_a 5.857
_cell_length_b 5.857
_cell_length_c 5.857
_cell_angle_alpha 60.00
_cell_angle_beta 60.00
_cell_angle_gamma 60.00
_space_group_name_H-M_alt 'P 1'
_space_group_IT_number 1
loop_
_space_group_symop_operation_xyz
'x,y,z'
loop_
_atom_site_label
_atom_site_type_symbol
_atom_site_fract_x
_atom_site_fract_y
_atom_site_fract_z
_atom_site_occupancy
Ac1 Ac 0.250 0.250 0.250 1
Cd1 Cd 0.750 0.750 0.750 1
Ca1 Ca 0.500 0.500 0.500 1
La1 La 0.000 0.000 0.000 1
```

## Properties
**Calculated volume**: 142 Å³/cell
**D(E_F)**: 6.7 states/eV per cell
**Symmetry**: F-43m (216)

---

## B
A plane-wave DFT calculation with PBE was carried out for a geometry-optimized CaAcLaCd structure.

Geometry as CIF:
```
data_CaAcLaCd
_cell_length_a 3.868
_cell_length_b 3.868
_cell_length_c 9.601
_cell_angle_alpha 90.00
_cell_angle_beta 90.00
_cell_angle_gamma 90.00
_space_group_name_H-M_alt 'P 1'
_space_group_IT_number 1
loop_
_space_group_symop_operation_xyz
'x,y,z'
loop_
_atom_site_label
_atom_site_type_symbol
_atom_site_fract_x
_atom_site_fract_y
_atom_site_fract_z
_atom_site_occupancy
Ca1 Ca 0.500 0.500 0.771 1
Ac1 Ac 0.000 0.000 0.080 1
La1 La 0.500 0.500 0.360 1
Cd1 Cd 0.000 0.000 0.573 1
```

## Properties
**Calculated volume**: 144 Å³/cell
**D(E_F)**: 6.3 states/eV per cell
**Symmetry**: P4mm (99)

---

The least stable of them is A.

---

## A
A plane-wave DFT calculation with PBE was carried out for a geometry-optimized CaAcNdCd structure.

Geometry as CIF:
```
data_CaAcNdCd
_cell_length_a 5.811
_cell_length_b 5.811
_cell_length_c 5.811
_cell_angle_alpha 60.00
_cell_angle_beta 60.00
_cell_angle_gamma 60.00
_space_group_name_H-M_alt 'P 1'
_space_group_IT_number 1
loop_
_space_group_symop_operation_xyz
'x,y,z'
loop_
_atom_site_label
_atom_site_type_symbol
_atom_site_fract_x
_atom_site_fract_y
_atom_site_fract_z
_atom_site_occupancy
Ac1 Ac 0.250 0.250 0.250 1
Nd1 Nd 0.000 0.000 0.000 1
Ca1 Ca 0.500 0.500 0.500 1
Cd1 Cd 0.750 0.750 0.750 1
```

## Properties
**Calculated volume**: 139 Å³/cell
**D(E_F)**: 5.3 states/eV per cell
**Symmetry**: F-43m (216)

---

## B
A plane-wave DFT calculation with PBE was carried out for a geometry-optimized CaAcNdCd structure.

Geometry as CIF:
```
data_CaAcNdCd
_cell_length_a 3.810
_cell_length_b 3.810
_cell_length_c 9.738
_cell_angle_alpha 90.00
_cell_angle_beta 90.00
_cell_angle_gamma 90.00
_space_group_name_H-M_alt 'P 1'
_space_group_IT_number 1
loop_
_space_group_symop_operation_xyz
'x,y,z'
loop_
_atom_site_label
_atom_site_type_symbol
_atom_site_fract_x
_atom_site_fract_y
_atom_site_fract_z
_atom_site_occupancy
Ca1 Ca 0.500 0.500 0.770 1
Ac1 Ac 0.000 0.000 0.085 1
Nd1 Nd 0.500 0.500 0.363 1
Cd1 Cd 0.000 0.000 0.567 1
```

## Properties
**Calculated volume**: 141 Å³/cell
**D(E_F)**: 5.7 states/eV per cell
**Symmetry**: P4mm (99)

---

The least stable of them is A.

---

## A
A plane-wave DFT calculation with PBE was carried out for a geometry-optimized CaAcSmCd structure.

Geometry as CIF:
```
data_CaAcSmCd
_cell_length_a 5.786
_cell_length_b 5.786
_cell_length_c 5.786
_cell_angle_alpha 60.00
_cell_angle_beta 60.00
_cell_angle_gamma 60.00
_space_group_name_H-M_alt 'P 1'
_space_group_IT_number 1
loop_
_space_group_symop_operation_xyz
'x,y,z'
loop_
_atom_site_label
_atom_site_type_symbol
_atom_site_fract_x
_atom_site_fract_y
_atom_site_fract_z
_atom_site_occupancy
Ac1 Ac 0.250 0.250 0.250 1
Ca1 Ca 0.000 0.000 0.000 1
Sm1 Sm 0.500 0.500 0.500 1
Cd1 Cd 0.750 0.750 0.750 1
```

## Properties
**Calculated volume**: 137 Å³/cell
**D(E_F)**: 4.4 states/eV per cell
**Symmetry**: F-43m (216)

---

## B
A plane-wave DFT calculation with PBE was carried out for a geometry-optimized CaAcSmCd structure.

Geometry as CIF:
```
data_CaAcSmCd
_cell_length_a 3.793
_cell_length_b 3.793
_cell_length_c 9.696
_cell_angle_alpha 90.00
_cell_angle_beta 90.00
_cell_angle_gamma 90.00
_space_group_name_H-M_alt 'P 1'
_space_group_IT_number 1
loop_
_space_group_symop_operation_xyz
'x,y,z'
loop_
_atom_site_label
_atom_site_type_symbol
_atom_site_fract_x
_atom_site_fract_y
_atom_site_fract_z
_atom_site_occupancy
Ca1 Ca 0.500 0.500 0.770 1
Ac1 Ac 0.000 0.000 0.088 1
Sm1 Sm 0.500 0.500 0.364 1
Cd1 Cd 0.000 0.000 0.563 1
```

## Properties
**Calculated volume**: 139 Å³/cell
**D(E_F)**: 5.9 states/eV per cell
**Symmetry**: P4mm (99)

---

The least stable of them is A.

---

## A
A plane-wave DFT calculation with PBE was carried out for a geometry-optimized CaAc2Ce structure.

Geometry as CIF:
```
data_CaAc2Ce
_cell_length_a 5.243
_cell_length_b 5.539
_cell_length_c 5.539
_cell_angle_alpha 90.00
_cell_angle_beta 90.00
_cell_angle_gamma 90.00
_space_group_name_H-M_alt 'P 1'
_space_group_IT_number 1
loop_
_space_group_symop_operation_xyz
'x,y,z'
loop_
_atom_site_label
_atom_site_type_symbol
_atom_site_fract_x
_atom_site_fract_y
_atom_site_fract_z
_atom_site_occupancy
Ac1 Ac 0.000 0.000 0.500 1
Ac2 Ac 0.000 0.500 0.000 1
Ca1 Ca 0.500 0.000 0.000 1
Ce1 Ce 0.500 0.500 0.500 1
```

## Properties
**Calculated volume**: 161 Å³/cell
**D(E_F)**: 10.0 states/eV per cell
**Symmetry**: P4/mmm (123)

---

## B
A plane-wave DFT calculation with PBE was carried out for a geometry-optimized CaAc2Ce structure.

Geometry as CIF:
```
data_CaAc2Ce
_cell_length_a 6.149
_cell_length_b 6.149
_cell_length_c 6.149
_cell_angle_alpha 60.00
_cell_angle_beta 60.00
_cell_angle_gamma 60.00
_space_group_name_H-M_alt 'P 1'
_space_group_IT_number 1
loop_
_space_group_symop_operation_xyz
'x,y,z'
loop_
_atom_site_label
_atom_site_type_symbol
_atom_site_fract_x
_atom_site_fract_y
_atom_site_fract_z
_atom_site_occupancy
Ac1 Ac 0.250 0.250 0.250 1
Ac2 Ac 0.750 0.750 0.750 1
Ca1 Ca 0.500 0.500 0.500 1
Ce1 Ce 0.000 0.000 0.000 1
```

## Properties
**Calculated volume**: 164 Å³/cell
**D(E_F)**: 12.5 states/eV per cell
**Symmetry**: Fm-3m (225)

---

## C
A plane-wave DFT calculation with PBE was carried out for a geometry-optimized CaAc2Ce structure.

Geometry as CIF:
```
data_CaAc2Ce
_cell_length_a 3.850
_cell_length_b 3.850
_cell_length_c 12.758
_cell_angle_alpha 81.32
_cell_angle_beta 81.32
_cell_angle_gamma 60.00
_space_group_name_H-M_alt 'P 1'
_space_group_IT_number 1
loop_
_space_group_symop_operation_xyz
'x,y,z'
loop_
_atom_site_label
_atom_site_type_symbol
_atom_site_fract_x
_atom_site_fract_y
_atom_site_fract_z
_atom_site_occupancy
Ca1 Ca 0.500 0.500 0.499 1
Ac1 Ac 0.079 0.079 0.764 1
Ac2 Ac 0.254 0.254 0.237 1
Ce1 Ce 0.667 0.667 0.000 1
```

## Properties
**Calculated volume**: 161 Å³/cell
**D(E_F)**: 8.6 states/eV per cell
**Symmetry**: R3m (160)

---

## D
A plane-wave DFT calculation with PBE was carried out for a geometry-optimized CaAc2Ce structure.

Geometry as CIF:
```
data_CaAc2Ce
_cell_length_a 3.746
_cell_length_b 3.746
_cell_length_c 13.741
_cell_angle_alpha 82.17
_cell_angle_beta 82.17
_cell_angle_gamma 60.00
_space_group_name_H-M_alt 'P 1'
_space_group_IT_number 1
loop_
_space_group_symop_operation_xyz
'x,y,z'
loop_
_atom_site_label
_atom_site_type_symbol
_atom_site_fract_x
_atom_site_fract_y
_atom_site_fract_z
_atom_site_occupancy
Ac1 Ac 0.085 0.085 0.745 1
Ac2 Ac 0.915 0.915 0.255 1
Ca1 Ca 0.500 0.500 0.500 1
Ce1 Ce 0.000 0.000 0.000 1
```

## Properties
**Calculated volume**: 165 Å³/cell
**D(E_F)**: 10.4 states/eV per cell
**Symmetry**: R-3m (166)

---

The least stable of them is D.